Density functional theory data (PBE-GGA) for a relaxed structure of YSb2Au.

CIF file:
```
data_YSb2Au
_symmetry_space_group_name_H-M 'C 1 m 1'
_symmetry_Int_Tables_number 8
_symmetry_space_group_name_Hall 'C -2y'
_cell_length_a 11.155
_cell_length_b 4.094
_cell_length_c 4.530
_cell_angle_alpha 90.00
_cell_angle_beta 103.34
_cell_angle_gamma 90.00
loop_
_atom_site_label
_atom_site_type_symbol
_atom_site_fract_x
_atom_site_fract_y
_atom_site_fract_z
_atom_site_occupancy
Y1 Y 0.000 0.000 0.000 1
Sb1 Sb 0.049 0.500 0.527 1
Sb2 Sb 0.274 0.000 0.933 1
Au1 Au 0.290 0.500 0.412 1
```

Properties
Its uncorrected formation energy is -216 kJ/mol of formula units. The value obtained for the uncorrected energy is -40.4 eV for the cell shown.

=====

Density functional theory data (PBE-GGA) for a relaxed structure of LiCaCd3.

CIF file:
```
data_LiCaCd3
_symmetry_space_group_name_H-M 'P m -3 m'
_symmetry_Int_Tables_number 221
_symmetry_space_group_name_Hall '-P 4 2 3'
_cell_length_a 4.956
_cell_length_b 4.956
_cell_length_c 4.956
_cell_angle_alpha 90.00
_cell_angle_beta 90.00
_cell_angle_gamma 90.00
loop_
_atom_site_label
_atom_site_type_symbol
_atom_site_fract_x
_atom_site_fract_y
_atom_site_fract_z
_atom_site_occupancy
Li1 Li 0.000 0.000 0.000 1
Ca1 Ca 0.500 0.500 0.500 1
Cd1 Cd 0.000 0.000 0.500 1
```

Properties
The value obtained for the uncorrected energy is -7.2 eV for the cell shown. The value obtained for the calculated formation energy is -2.34 kcal/mol of atoms. The value obtained for the offset from the most stable computed form is 152.0 meV per atom.

=====

Density functional theory data (PBE-GGA) for a relaxed structure of AgSe3.

CIF file:
```
data_AgSe3
_symmetry_space_group_name_H-M 'P 4/m m m'
_symmetry_Int_Tables_number 123
_symmetry_space_group_name_Hall '-P 4 2'
_cell_length_a 3.914
_cell_length_b 3.914
_cell_length_c 5.677
_cell_angle_alpha 90.00
_cell_angle_beta 90.00
_cell_angle_gamma 90.00
loop_
_atom_site_label
_atom_site_type_symbol
_atom_site_fract_x
_atom_site_fract_y
_atom_site_fract_z
_atom_site_occupancy
Ag1 Ag 0.000 0.000 0.000 1
Se1 Se 0.000 0.000 0.500 1
Se2 Se 0.500 0.500 0.000 1
Se3 Se 0.500 0.500 0.500 1
```

Properties
Its uncorrected formation energy is 23 kJ/mol of formula units. The value obtained for the uncorrected energy is -13.1 eV for the cell shown.

=====

Density functional theory data (PBE-GGA) for a relaxed structure of Nd3PSe6.

CIF file:
```
data_Nd3PSe6
_symmetry_space_group_name_H-M 'C m c 21'
_symmetry_Int_Tables_number 36
_symmetry_space_group_name_Hall 'C 2c -2'
_cell_length_a 11.323
_cell_length_b 13.946
_cell_length_c 7.504
_cell_angle_alpha 90.00
_cell_angle_beta 90.00
_cell_angle_gamma 90.00
loop_
_atom_site_label
_atom_site_type_symbol
_atom_site_fract_x
_atom_site_fract_y
_atom_site_fract_z
_atom_site_occupancy
Nd1 Nd 0.000 0.103 0.000 1
Nd2 Nd 0.185 0.402 0.071 1
P1 P 0.000 0.309 0.656 1
Se1 Se 0.000 0.283 0.220 1
Se2 Se 0.000 0.466 0.787 1
Se3 Se 0.161 0.025 0.287 1
Se4 Se 0.163 0.241 0.793 1
```

Properties
Its uncorrected formation energy is -1328 kJ/mol of formula units. The value obtained for the uncorrected energy is -217.5 eV for the cell shown.

=====

Density functional theory data (PBE-GGA) for a relaxed structure of Sc2NiRu.

CIF file:
```
data_Sc2NiRu
_symmetry_space_group_name_H-M 'P m m 2'
_symmetry_Int_Tables_number 25
_symmetry_space_group_name_Hall 'P 2 -2'
_cell_length_a 3.129
_cell_length_b 4.049
_cell_length_c 5.404
_cell_angle_alpha 90.00
_cell_angle_beta 90.00
_cell_angle_gamma 90.00
loop_
_atom_site_label
_atom_site_type_symbol
_atom_site_fract_x
_atom_site_fract_y
_atom_site_fract_z
_atom_site_occupancy
Sc1 Sc 0.000 0.000 0.000 1
Sc2 Sc 0.500 0.500 0.366 1
Ni1 Ni 0.000 0.000 0.521 1
Ru1 Ru 0.500 0.500 0.852 1
```

Properties
The value obtained for the uncorrected energy is -28.7 eV for the cell shown. The value obtained for the calculated formation energy is -5.78 kcal/mol of atoms.

=====

Density functional theory data (PBE-GGA) for a relaxed structure of Cs3BeAg.

CIF file:
```
data_Cs3BeAg
_symmetry_space_group_name_H-M 'P m -3 m'
_symmetry_Int_Tables_number 221
_symmetry_space_group_name_Hall '-P 4 2 3'
_cell_length_a 6.869
_cell_length_b 6.869
_cell_length_c 6.869
_cell_angle_alpha 90.00
_cell_angle_beta 90.00
_cell_angle_gamma 90.00
loop_
_atom_site_label
_atom_site_type_symbol
_atom_site_fract_x
_atom_site_fract_y
_atom_site_fract_z
_atom_site_occupancy
Cs1 Cs 0.000 0.000 0.500 1
Be1 Be 0.000 0.000 0.000 1
Ag1 Ag 0.500 0.500 0.500 1
```

Properties
The value obtained for the uncorrected energy is -6.0 eV for the cell shown. The value obtained for the calculated formation energy is 14.45 kcal/mol of atoms. The value obtained for the offset from the most stable computed form is 0.0 meV per atom.

=====

Density functional theory data (PBE-GGA) for a relaxed structure of PdAu3Se.

CIF file:
```
data_PdAu3Se
_symmetry_space_group_name_H-M 'P m -3 m'
_symmetry_Int_Tables_number 221
_symmetry_space_group_name_Hall '-P 4 2 3'
_cell_length_a 4.930
_cell_length_b 4.930
_cell_length_c 4.930
_cell_angle_alpha 90.00
_cell_angle_beta 90.00
_cell_angle_gamma 90.00
loop_
_atom_site_label
_atom_site_type_symbol
_atom_site_fract_x
_atom_site_fract_y
_atom_site_fract_z
_atom_site_occupancy
Pd1 Pd 0.000 0.000 0.000 1
Au1 Au 0.000 0.500 0.500 1
Se1 Se 0.500 0.500 0.500 1
```

Properties
Its uncorrected formation energy is 324 kJ/mol of formula units. The value obtained for the uncorrected energy is -15.1 eV for the cell shown. The value obtained for the offset from the most stable computed form is 0.0 meV per atom.

=====

Density functional theory data (PBE-GGA) for a relaxed structure of CuSb2Cl.

CIF file:
```
data_CuSb2Cl
_symmetry_space_group_name_H-M 'P m m m'
_symmetry_Int_Tables_number 47
_symmetry_space_group_name_Hall '-P 2 2'
_cell_length_a 3.274
_cell_length_b 3.300
_cell_length_c 8.071
_cell_angle_alpha 90.00
_cell_angle_beta 90.00
_cell_angle_gamma 90.00
loop_
_atom_site_label
_atom_site_type_symbol
_atom_site_fract_x
_atom_site_fract_y
_atom_site_fract_z
_atom_site_occupancy
Cu1 Cu 0.000 0.000 0.000 1
Sb1 Sb 0.500 0.500 0.212 1
Cl1 Cl 0.000 0.000 0.500 1
```

Properties
Its uncorrected formation energy is 0 kJ/mol of formula units. The value obtained for the uncorrected energy is -14.2 eV for the cell shown. The value obtained for the offset from the most stable computed form is 148.1 meV per atom.